[1]
## Tm5RuRh4 (GGA-PBE)

Data for an optimized crystal structure of Tm5RuRh4.

Values from the calculation:
Theoretical density ... 11761 kg/m³
E ... -69.810 eV per formula unit

Geometry as CIF:
```
data_Tm5RuRh4
_space_group_name_H-M_alt 'P 4/m m m'
_space_group_IT_number 123
_space_group_name_Hall '-P 4 2'
_cell_length_a 3.3779
_cell_length_b 3.3779
_cell_length_c 16.7957
_cell_angle_alpha 90.00
_cell_angle_beta 90.00
_cell_angle_gamma 90.00
loop_
_atom_site_label
_atom_site_fract_x
_atom_site_fract_y
_atom_site_fract_z
Tm1 0.0000 0.0000 0.0000
Tm2 0.0000 0.0000 0.2009
Tm3 0.0000 0.0000 0.4025
Ru1 0.5000 0.5000 0.5000
Rh1 0.5000 0.5000 0.0998
Rh2 0.5000 0.5000 0.2984
```

---

[2]
## Tm6RuRh2 (GGA-PBE)

Data for an optimized crystal structure of Tm6RuRh2.

Values from the calculation:
Theoretical density ... 9942 kg/m³
E ... -55.827 eV per formula unit

Geometry as CIF:
```
data_Tm6RuRh2
_space_group_name_H-M_alt 'P 1 21/c 1'
_space_group_IT_number 14
_cell_length_a 6.5119
_cell_length_b 7.1794
_cell_length_c 11.2326
_cell_angle_alpha 90.00
_cell_angle_beta 122.86
_cell_angle_gamma 90.00
loop_
_space_group_symop_operation_xyz
'x,y,z'
'-x,-y,-z'
'-x,y+1/2,-z+1/2'
'x,-y+1/2,z+1/2'
loop_
_atom_site_label
_atom_site_fract_x
_atom_site_fract_y
_atom_site_fract_z
Tm1 0.0803 0.0359 0.2425
Tm2 0.2228 0.6689 0.0721
Tm3 0.3945 0.1736 0.0713
Ru1 0.5000 0.0000 0.5000
Rh1 0.3239 0.1357 0.7838
```

---

[3]
## Tm6Ru2Rh (GGA-PBE)

Data for an optimized crystal structure of Tm6Ru2Rh.

Values from the calculation:
Theoretical density ... 10034 kg/m³
E ... -56.770 eV per formula unit
Distance to the lowest polymorph of the same formula ... 0.032 eV/atom

Geometry as CIF:
```
data_Tm6Ru2Rh
_space_group_name_H-M_alt 'P 1 21/c 1'
_space_group_IT_number 14
_cell_length_a 6.5190
_cell_length_b 7.2049
_cell_length_c 11.1198
_cell_angle_alpha 90.00
_cell_angle_beta 123.32
_cell_angle_gamma 90.00
loop_
_space_group_symop_operation_xyz
'x,y,z'
'-x,-y,-z'
'-x,y+1/2,-z+1/2'
'x,-y+1/2,z+1/2'
loop_
_atom_site_label
_atom_site_fract_x
_atom_site_fract_y
_atom_site_fract_z
Tm1 0.0733 0.0380 0.2384
Tm2 0.2189 0.6704 0.0707
Tm3 0.3970 0.1696 0.0736
Ru1 0.3142 0.1364 0.7804
Rh1 0.5000 0.0000 0.5000
```

---

[4]
## Tm4RuRh2 (GGA-PBE)

Data for an optimized crystal structure of Tm4RuRh2.

Values from the calculation:
Theoretical density ... 10735 kg/m³
E ... -46.610 eV per formula unit

Geometry as CIF:
```
data_Tm4RuRh2
_space_group_name_H-M_alt 'I 4/m m m'
_space_group_IT_number 139
_space_group_name_Hall '-I 4 2'
_cell_length_a 6.6947
_cell_length_b 6.6947
_cell_length_c 6.7826
_cell_angle_alpha 90.00
_cell_angle_beta 90.00
_cell_angle_gamma 90.00
loop_
_atom_site_label
_atom_site_fract_x
_atom_site_fract_y
_atom_site_fract_z
Tm1 0.2500 0.2500 0.2500
Ru1 0.0000 0.0000 0.0000
Rh1 0.0000 0.5000 0.0000
```

---

[5]
## Tm4Ru2Rh (GGA-PBE)

Data for an optimized crystal structure of Tm4Ru2Rh.

Values from the calculation:
Theoretical density ... 10778 kg/m³
E ... -47.557 eV per formula unit
Distance to the lowest polymorph of the same formula ... 0.000 eV/atom

Geometry as CIF:
```
data_Tm4Ru2Rh
_space_group_name_H-M_alt 'I 4/m m m'
_space_group_IT_number 139
_space_group_name_Hall '-I 4 2'
_cell_length_a 6.7063
_cell_length_b 6.7063
_cell_length_c 6.7199
_cell_angle_alpha 90.00
_cell_angle_beta 90.00
_cell_angle_gamma 90.00
loop_
_atom_site_label
_atom_site_fract_x
_atom_site_fract_y
_atom_site_fract_z
Tm1 0.2500 0.2500 0.2500
Ru1 0.0000 0.5000 0.0000
Rh1 0.0000 0.0000 0.0000
```

---

[6]
## TmURuRh (GGA-PBE)

Data for an optimized crystal structure of TmURuRh.

Values from the calculation:
Theoretical density ... 13060 kg/m³
E ... -34.145 eV per formula unit

Geometry as CIF:
```
data_TmURuRh
_space_group_name_H-M_alt 'F -4 3 m'
_space_group_IT_number 216
_space_group_name_Hall 'F -4 2 3'
_cell_length_a 6.7730
_cell_length_b 6.7730
_cell_length_c 6.7730
_cell_angle_alpha 90.00
_cell_angle_beta 90.00
_cell_angle_gamma 90.00
loop_
_atom_site_label
_atom_site_fract_x
_atom_site_fract_y
_atom_site_fract_z
Tm1 0.0000 0.0000 0.0000
U1 0.0000 0.0000 0.5000
Ru1 0.2500 0.2500 0.2500
Rh1 0.2500 0.2500 0.7500
```

---

no.,N(E_F) (states/eV per cell),formation energy (kJ per mole of atoms)
1,3.85,-85
2,12.54,-54
3,8.89,-43
4,5.58,-65
5,7.07,-52
6,33.10,-42